TbPuInCl6: optimized geometry, PBE.

Cell lengths 7.180, 7.180, 13.847 Å; angles 90.00, 90.00, 120.00 degrees
Site moments in Bohr magnetons follow the coordinates.
Element x y z (fractional)
1 Cl 0.374 0.016 0.139  -0.01
2 Cl 0.626 0.642 0.639  -0.01
3 Cl 0.626 0.984 0.861  -0.01
4 Cl 0.016 0.374 0.639  -0.01
5 Cl 0.984 0.626 0.361  -0.01
6 Cl 0.358 0.984 0.639  -0.01
7 Cl 0.358 0.374 0.861  -0.01
8 Cl 0.374 0.358 0.361  -0.01
9 Cl 0.016 0.642 0.861  -0.01
10 Cl 0.642 0.626 0.139  -0.01
11 Cl 0.984 0.358 0.139  -0.01
12 Cl 0.642 0.016 0.361  -0.01
13 Tb 0.333 0.667 0.750  0.12
14 Tb 0.667 0.333 0.250  0.12
15 Pu 0.333 0.667 0.250  5.65
16 Pu 0.667 0.333 0.750  5.65
17 In 0.000 0.000 0.500  0.01
18 In 0.000 0.000 0.000  0.01

space-group type: P-31c, No. 163
DFT total energy: -48.9 eV per formula unit
D(E_F): 30.778 states/eV/cell